Record 1
Hg2RhPb: single point on PBEsol structure, SCAN.

abc: 3.0859 4.5916 12.0091
angles: 90.00 90.00 90.00
Space group Immm (No. 71)
Unique sites:
Hg  0.0000  0.0000  0.2000
Rh  0.0000  0.5000  0.5000
Pb  0.0000  0.5000  0.0000

Summary:
* magnetization: 0.0000 μB per atom
* energy: -245.4 eV/f.u.

=====

Record 2
HgRhPb: single point on PBEsol structure, SCAN.

abc: 3.2792 3.2792 6.7099
angles: 90.00 90.00 120.00
Space group P3m1 (No. 156)
Unique sites:
Hg  0.0000  0.0000  0.0000
Rh  0.6667  0.3333  0.3039
Pb  0.3333  0.6667  0.5978

Summary:
* magnetization: 0.0000 μB per atom
* energy: -177.1 eV/f.u.

=====

Record 3
HgRhPb: single point on PBEsol structure, SCAN.

abc: 3.2002 3.2002 12.0243
angles: 90.00 90.00 90.00
Space group I4mm (No. 107)
Unique sites:
Hg  0.0000  0.0000  0.0000
Rh  0.0000  0.0000  0.3595
Pb  0.0000  0.0000  0.7167

Summary:
* magnetization: 0.0000 μB per atom
* energy: -177.4 eV/f.u.

=====

Record 4
Hg2RhPb: single point on PBEsol structure, SCAN.

abc: 3.0816 4.5564 12.7664
angles: 90.00 90.00 90.00
Space group Imm2 (No. 44)
Unique sites:
Hg  0.0000  0.0000  0.0000
Hg  0.0000  0.5000  0.1745
Rh  0.0000  0.5000  0.6815
Pb  0.0000  0.0000  0.3634

Summary:
* magnetization: 0.0000 μB per atom
* energy: -245.7 eV/f.u.

=====

Record 5
HgRhPb: single point on PBEsol structure, SCAN.

abc: 6.4067 6.4067 6.4067
angles: 90.00 90.00 90.00
Space group F-43m (No. 216)
Unique sites:
Hg  0.0000  0.0000  0.0000
Rh  0.2500  0.2500  0.2500
Pb  0.0000  0.0000  0.5000

Summary:
* magnetization: 0.0000 μB per atom
* energy: -177.5 eV/f.u.

=====

Record 6
Hg2RhPb: single point on PBEsol structure, SCAN.

abc: 4.3083 4.3083 8.6015
angles: 90.00 90.00 90.00
Space group I-4m2 (No. 119)
Unique sites:
Hg  0.0000  0.0000  0.0000
Hg  0.0000  0.5000  0.2500
Rh  0.0000  0.5000  0.7500
Pb  0.0000  0.0000  0.5000

Summary:
* magnetization: 0.0000 μB per atom
* energy: -244.8 eV/f.u.

=====

Record 7
TcHg2RhPb: single point on PBEsol structure, SCAN.

abc: 5.0624 5.0624 5.0175
angles: 90.00 90.00 90.00
Space group P4/mmm (No. 123)
Unique sites:
Tc  0.0000  0.0000  0.0000
Hg  0.0000  0.5000  0.5000
Rh  0.5000  0.5000  0.5000
Pb  0.5000  0.5000  0.0000

Summary:
* magnetization: 0.8469 μB per atom
* energy: -276.2 eV/f.u.

=====

Record 8
HgRuPb: single point on PBEsol structure, SCAN.

abc: 6.3902 6.3902 6.3902
angles: 90.00 90.00 90.00
Space group F-43m (No. 216)
Unique sites:
Hg  0.0000  0.0000  0.0000
Ru  0.2500  0.2500  0.7500
Pb  0.0000  0.0000  0.5000

Summary:
* magnetization: 0.0000 μB per atom
* energy: -177.3 eV/f.u.